PBE AcPd4O8, relaxed; E = -5.313 eV per atom; space-group type = P6_3/mmc; V = 425.10 Å³/cell; crystal system = hexagonal; uncorrected formation energy = -0.3485 eV per atom
1.0
6.2272 0.0000 0.0000
-3.1136 5.3929 0.0000
0.0000 0.0000 12.6582
Ac Pd O
2 8 16
Direct
0.0000 0.0000 0.0000
0.0000 0.0000 0.5000
0.0000 0.0000 0.2500
0.0000 0.0000 0.7500
0.0458 0.5229 0.2500
0.4771 0.5229 0.2500
0.4771 0.9542 0.2500
0.5229 0.0458 0.7500
0.5229 0.4771 0.7500
0.9542 0.4771 0.7500
0.1587 0.3174 0.1480
0.1587 0.3174 0.3520
0.1587 0.8413 0.1480
0.1587 0.8413 0.3520
0.3174 0.1587 0.6480
0.3174 0.1587 0.8520
0.3333 0.6667 0.6665
0.3333 0.6667 0.8335
0.6667 0.3333 0.1665
0.6667 0.3333 0.3335
0.6826 0.8413 0.1480
0.6826 0.8413 0.3520
0.8413 0.1587 0.6480
0.8413 0.1587 0.8520
0.8413 0.6826 0.6480
0.8413 0.6826 0.8520